Run 1
An optimized crystal structure of TmMg4In, computed with GGA-PBE.

POSCAR file:
```
TmMg4In
1.0
3.5984 -0.1706 0.0001
0.1706 3.5984 0.0002
-0.0002 -0.0003 11.1056
Mg In Tm
4 1 1
Direct
0.5000 0.5000 0.8149
0.0000 0.0000 0.6583
0.0000 0.0000 0.3417
0.5000 0.5000 0.1851
0.5000 0.5000 0.5000
0.0000 0.0000 0.0000
```

- spin magnetization (Bohr magnetons per cell) = 0.159

Run 2
An optimized crystal structure of TmMg4In, computed with GGA-PBE.

POSCAR file:
```
TmMg4In
1.0
-3.0304 1.6406 4.8370
-5.2334 -2.5266 1.2243
-0.4956 -3.7250 4.5989
Tm Mg In
1 4 1
Direct
0.2500 0.2500 0.2500
0.6249 0.1252 0.6249
0.6249 0.6249 0.6249
0.1252 0.6249 0.6249
0.6249 0.6249 0.1252
0.0000 0.0000 0.0000
```

- spin magnetization (Bohr magnetons per cell) = 0.000

What should be chosen as the most stable of them? Choose run 1.